No. 1
DFT (GGA-PBEsol) results for YScBe2O after structural relaxation.

Geometry as extended XYZ:
```
5
Lattice="-0.129 -3.704 -2.774 4.253 -1.189 1.389 -2.193 -3.017 4.131" Properties=species:S:1:pos:R:3 pbc="T T T"
Y 0.000 0.000 0.000
Sc -1.096 -1.508 2.065
O 0.965 -3.955 1.373
Be 2.127 -0.595 0.695
Be -0.065 -1.852 -1.387
```

Summary:
E_tot (Ha/atom): -0.1230
Crystal system: tetragonal
Energy relative to the elements, uncorrected (meV/atom): 1989
Theoretical density (g/cm3): 2.3


No. 2
DFT (GGA-PBEsol) results for BaInRu2 after structural relaxation.

Geometry as extended XYZ:
```
4
Lattice="-1.433 3.110 0.275 -4.207 -2.024 0.970 1.040 0.068 4.653" Properties=species:S:1:pos:R:3 pbc="T T T"
Ba -2.300 0.577 2.949
In -0.716 1.555 0.137
Ru 0.520 0.034 2.327
Ru -2.104 -1.012 0.485
```

Summary:
ΔE_f (eV/atom): 0.77
E_tot (Ha/atom): -0.2057
Crystal system: tetragonal
Theoretical density (g/cm3): 9.7


No. 3
DFT (GGA-PBEsol) results for Sr2MgAg after structural relaxation.

Geometry as extended XYZ:
```
4
Lattice="-4.707 -0.871 -0.442 0.350 -3.533 3.241 1.140 5.781 2.614" Properties=species:S:1:pos:R:3 pbc="T T T"
Ag -2.179 -2.202 1.400
Mg -0.344 0.023 3.627
Sr 0.000 0.000 0.000
Sr -2.873 1.354 1.786
```

Summary:
ΔE_f (eV/atom): 0.02
E_tot (Ha/atom): -0.0792
Crystal system: tetragonal
Theoretical density (g/cm3): 4.0


No. 4
DFT (GGA-PBEsol) results for La2ZnBiRh after structural relaxation.

Geometry as extended XYZ:
```
5
Lattice="4.519 0.000 0.000 0.000 5.587 0.000 0.000 0.000 5.587" Properties=species:S:1:pos:R:3 pbc="T T T"
Zn 0.000 0.000 0.000
Rh 2.259 0.000 0.000
Bi 2.259 2.793 2.793
La 0.000 0.000 2.793
La 0.000 2.793 0.000
```

Summary:
ΔE_f (eV/atom): -0.10
E_tot (Ha/atom): -0.1853
Crystal system: tetragonal
Theoretical density (g/cm3): 7.7


No. 5
DFT (GGA-PBEsol) results for Hf2ScBr after structural relaxation.

Geometry as extended XYZ:
```
4
Lattice="4.937 0.000 0.000 2.468 4.275 0.000 2.468 1.425 4.031" Properties=species:S:1:pos:R:3 pbc="T T T"
Sc 0.000 0.000 0.000
Hf 2.468 1.425 1.008
Hf 7.405 4.275 3.023
Br 4.937 2.850 2.015
```

Summary:
E_tot (Ha/atom): -0.2525
Crystal system: cubic
Energy relative to the elements, uncorrected (meV/atom): 501
Theoretical density (g/cm3): 9.4


No. 6
DFT (GGA-PBEsol) results for LiCaSe2 after structural relaxation.

Geometry as extended XYZ:
```
4
Lattice="3.672 0.074 0.087 -0.103 4.776 0.016 -0.103 -0.726 4.721" Properties=species:S:1:pos:R:3 pbc="T T T"
Ca 1.836 0.037 0.044
Li 1.734 2.062 2.412
Se -0.051 2.388 0.008
Se -0.051 -0.363 2.360
```

Summary:
E_tot (Ha/atom): -0.1541
Crystal system: orthorhombic
Energy relative to the elements, uncorrected (meV/atom): -1242
Theoretical density (g/cm3): 4.1